YMgAl: relaxed, GGA-PBE.

Computed properties:
raw total energy = -4.149 eV per atom
magnetization = 0.000 μB/cell
symmetry = P2_1/m (11)
energy relative to the elements = -0.215 eV per atom

a b c (Å): 4.218 8.925 4.148
angles (deg): 90.01 90.00 103.64
Fractional coordinates of all 6 atoms:
Mg 0.543 0.626 0.853
Y 0.927 0.393 0.353
Al 0.292 0.122 0.353
Mg 0.127 0.794 0.353
Al 0.380 0.298 0.853
Y 0.745 0.027 0.853

YMg16Al12: relaxed, GGA-PBE.

Computed properties:
raw total energy = -2.726 eV per atom
magnetization = 0.000 μB/cell
symmetry = I-43m (217)
energy relative to the elements = -0.075 eV per atom

a b c (Å): 9.138 9.138 9.138
angles (deg): 109.47 109.47 109.47
Fractional coordinates of all 29 atoms:
Mg 0.284 0.681 0.681
Al 0.186 0.818 0.186
Mg 0.716 0.396 0.396
Mg 0.396 0.396 0.716
Mg 0.000 0.358 0.000
Al 0.814 0.000 0.632
Al 0.818 0.186 0.186
Mg 0.604 0.319 0.000
Al 0.632 0.814 0.000
Al 0.368 0.368 0.182
Al 0.368 0.182 0.368
Mg 0.396 0.716 0.396
Mg 0.319 0.604 0.000
Mg 0.642 0.642 0.642
Mg 0.681 0.284 0.681
Mg 0.319 0.000 0.604
Al 0.000 0.814 0.632
Mg 0.604 0.000 0.319
Mg 0.358 0.000 0.000
Al 0.814 0.632 0.000
Al 0.632 0.000 0.814
Al 0.186 0.186 0.818
Al 0.182 0.368 0.368
Mg 0.681 0.681 0.284
Mg 0.000 0.319 0.604
Mg 0.000 0.604 0.319
Mg 0.000 0.000 0.358
Y 0.000 0.000 0.000
Al 0.000 0.632 0.814

Copy entry 2 word for word.
YMg16Al12: relaxed, GGA-PBE.

Computed properties:
raw total energy = -2.726 eV per atom
magnetization = 0.000 μB/cell
symmetry = I-43m (217)
energy relative to the elements = -0.075 eV per atom

a b c (Å): 9.138 9.138 9.138
angles (deg): 109.47 109.47 109.47
Fractional coordinates of all 29 atoms:
Mg 0.284 0.681 0.681
Al 0.186 0.818 0.186
Mg 0.716 0.396 0.396
Mg 0.396 0.396 0.716
Mg 0.000 0.358 0.000
Al 0.814 0.000 0.632
Al 0.818 0.186 0.186
Mg 0.604 0.319 0.000
Al 0.632 0.814 0.000
Al 0.368 0.368 0.182
Al 0.368 0.182 0.368
Mg 0.396 0.716 0.396
Mg 0.319 0.604 0.000
Mg 0.642 0.642 0.642
Mg 0.681 0.284 0.681
Mg 0.319 0.000 0.604
Al 0.000 0.814 0.632
Mg 0.604 0.000 0.319
Mg 0.358 0.000 0.000
Al 0.814 0.632 0.000
Al 0.632 0.000 0.814
Al 0.186 0.186 0.818
Al 0.182 0.368 0.368
Mg 0.681 0.681 0.284
Mg 0.000 0.319 0.604
Mg 0.000 0.604 0.319
Mg 0.000 0.000 0.358
Y 0.000 0.000 0.000
Al 0.000 0.632 0.814

What is the formula in the second record? YMg16Al12

Which value of energy relative to the elements does entry 1 give? -0.215 eV per atom